(1)
Below is AcSb2Rh3 after structural relaxation, with properties calculated at the PBE level.

Cell lengths 8.6613, 8.6613, 7.8666 Å; angles 114.56, 114.56, 29.43 degrees
Last column: nearest neighbours and their distance in Å.
Atoms (fractional coordinates):
Ac 0.1519 0.1519 0.0812  7 Sb 3.36-3.55, 7 Rh 3.42-3.69
Ac 0.8481 0.8481 0.9188  7 Sb 3.36-3.55, 7 Rh 3.42-3.69
Sb 0.1876 0.1876 0.6801  6 Rh 2.59-2.90
Sb 0.4801 0.4801 0.7982  4 Rh 2.54-2.61
Sb 0.5199 0.5199 0.2018  4 Rh 2.54-2.61
Sb 0.8124 0.8124 0.3199  6 Rh 2.59-2.90
Rh 0.0404 0.0404 0.3770  3 Sb 2.54-2.59, 1 Rh 2.80
Rh 0.3131 0.3131 0.5611  4 Sb 2.61-2.90, 3 Rh 2.81-2.91
Rh 0.4032 0.4032 0.3313  3 Sb 2.56-2.65, 1 Rh 2.81
Rh 0.5968 0.5968 0.6687  3 Sb 2.56-2.65, 1 Rh 2.81
Rh 0.6869 0.6869 0.4389  4 Sb 2.61-2.90, 3 Rh 2.81-2.91
Rh 0.9596 0.9596 0.6230  3 Sb 2.54-2.59, 1 Rh 2.80

Values from the calculation:
The crystal system is monoclinic.

***

(2)
Below is Ac2SbRh after structural relaxation, with properties calculated at the PBE level.

Cell lengths 4.4138, 24.6650, 4.7880 Å; angles 90.00, 90.00, 90.00 degrees
Last column: nearest neighbours and their distance in Å.
Atoms (fractional coordinates):
Ac 0.0000 0.0581 0.2500  6 Rh 3.25-3.29, 1 Sb 3.30
Ac 0.0000 0.3313 0.2500  1 Rh 3.21, 5 Sb 3.31-3.44
Ac 0.0000 0.6687 0.7500  1 Rh 3.21, 5 Sb 3.31-3.44
Ac 0.0000 0.9419 0.7500  6 Rh 3.25-3.29, 1 Sb 3.30
Ac 0.5000 0.1687 0.7500  1 Rh 3.21, 5 Sb 3.31-3.44
Ac 0.5000 0.4419 0.7500  6 Rh 3.25-3.29, 1 Sb 3.30
Ac 0.5000 0.5581 0.2500  6 Rh 3.25-3.29, 1 Sb 3.30
Ac 0.5000 0.8313 0.2500  1 Rh 3.21, 5 Sb 3.31-3.44
Sb 0.0000 0.1918 0.2500  6 Ac 3.30-3.44
Sb 0.0000 0.8082 0.7500  6 Ac 3.30-3.44
Sb 0.5000 0.3082 0.7500  6 Ac 3.30-3.44
Sb 0.5000 0.6918 0.2500  6 Ac 3.30-3.44
Rh 0.0000 0.4615 0.2500  2 Rh 3.05, 7 Ac 3.21-3.29
Rh 0.0000 0.5385 0.7500  2 Rh 3.05, 7 Ac 3.21-3.29
Rh 0.5000 0.0385 0.7500  2 Rh 3.05, 7 Ac 3.21-3.29
Rh 0.5000 0.9615 0.2500  2 Rh 3.05, 7 Ac 3.21-3.29

Values from the calculation:
The crystal system is orthorhombic.

***

Asked for total moment across the records above, the calculation gives 0.00 0.00 Bohr magnetons per cell in order.
Asked for relative energy among the computed polymorphs across the records above, the calculation gives 0.112 0.063 eV per atom in order.